(1)
# Pm2Pr3Ir3

Crystalline Pm2Pr3Ir3 at its relaxed geometry (GGA-PBE, the Alexandria database).

## Properties
* mass density: 8.1 Mg/m³
* total magnetic moment: 0.00 μB/f.u.
* calculated formation energy: -453 meV per atom

Structure (POSCAR):
```
Pm2Pr3Ir3
1.0
6.5521 -2.8621 0.0000
6.5521 2.8621 0.0000
-0.1417 0.0000 14.0252
Pm Pr Ir
4 6 6
direct
0.0000 0.0000 0.0000
0.0041 0.0041 0.3671
0.3467 0.3467 0.4993
0.6153 0.6153 0.8189
0.3388 0.3388 0.8635
0.4221 0.4221 0.1843
0.6233 0.6233 0.5529
0.7255 0.7255 0.0510
0.7279 0.7279 0.3166
0.9265 0.9265 0.6849
0.4576 0.4576 0.6826
0.5179 0.5179 0.9940
0.5218 0.5218 0.3745
0.8220 0.8220 0.8724
0.8297 0.8297 0.4938
0.8912 0.8912 0.1837
```


(2)
# Pm2PrIr

Crystalline Pm2PrIr at its relaxed geometry (GGA-PBE, the Alexandria database).

## Properties
* mass density: 8.7 Mg/m³
* ΔE to the lowest computed polymorph: 0.00 eV per formula unit
* total magnetic moment: 0.00 μB/f.u.
* calculated formation energy: -457 meV per atom

Structure (POSCAR):
```
Pm2PrIr
1.0
7.3842 0.0000 0.0000
0.0000 9.8061 0.0000
0.0000 0.0000 6.5599
Pm Pr Ir
8 4 4
direct
0.1750 0.0658 0.1707
0.1750 0.4342 0.1707
0.3250 0.5658 0.6707
0.3250 0.9342 0.6707
0.6750 0.0658 0.3293
0.6750 0.4342 0.3293
0.8250 0.5658 0.8293
0.8250 0.9342 0.8293
0.0357 0.2500 0.6403
0.4643 0.7500 0.1403
0.5357 0.2500 0.8597
0.9643 0.7500 0.3597
0.1186 0.7500 0.9338
0.3814 0.2500 0.4338
0.6186 0.7500 0.5662
0.8814 0.2500 0.0662
```


(3)
# Pm5Pr3Ir2

Crystalline Pm5Pr3Ir2 at its relaxed geometry (GGA-PBE, the Alexandria database).

## Properties
* mass density: 7.9 Mg/m³
* total magnetic moment: 0.00 μB/f.u.
* calculated formation energy: -169 meV per atom

Structure (POSCAR):
```
Pm5Pr3Ir2
1.0
-6.4398 7.1324 3.5214
6.4398 -7.1324 3.5214
6.4398 7.1324 -3.5214
Pm Pr Ir
10 6 4
direct
0.0160 0.2500 0.7660
0.0662 0.2062 0.2724
0.2500 0.2500 0.0000
0.4338 0.7062 0.1400
0.4840 0.2500 0.2340
0.5160 0.7500 0.7660
0.5662 0.2938 0.8600
0.7500 0.7500 0.0000
0.9338 0.7938 0.7276
0.9840 0.7500 0.2340
0.1823 0.7485 0.9308
0.2500 0.7500 0.5000
0.3177 0.2485 0.5662
0.6823 0.7515 0.4338
0.7500 0.2500 0.5000
0.8177 0.2515 0.0692
0.1510 0.3919 0.5429
0.3490 0.8919 0.2410
0.6510 0.1081 0.7590
0.8490 0.6081 0.4571
```


(4)
# PmPrIr4

Crystalline PmPrIr4 at its relaxed geometry (GGA-PBE, the Alexandria database).

## Properties
* mass density: 15.4 Mg/m³
* total magnetic moment: 0.00 μB/f.u.
* calculated formation energy: -693 meV per atom

Structure (POSCAR):
```
PmPrIr4
1.0
0.0000 3.8482 3.8482
3.8482 0.0000 3.8482
3.8482 3.8482 0.0000
Pm Pr Ir
1 1 4
direct
0.0000 0.0000 0.0000
0.2500 0.2500 0.2500
0.1248 0.6251 0.6251
0.6251 0.1248 0.6251
0.6251 0.6251 0.1248
0.6251 0.6251 0.6251
```


(5)
# PmPr3Ir3

Crystalline PmPr3Ir3 at its relaxed geometry (GGA-PBE, the Alexandria database).

## Properties
* mass density: 10.3 Mg/m³
* total magnetic moment: 0.00 μB/f.u.
* calculated formation energy: -490 meV per atom

Structure (POSCAR):
```
PmPr3Ir3
1.0
5.5805 -4.7679 0.0000
5.5805 4.7679 0.0000
-1.7490 0.0000 6.9390
Pm Pr Ir
2 6 6
direct
0.2165 0.2165 0.4594
0.7835 0.7835 0.5406
0.1913 0.8087 0.0000
0.2750 0.7250 0.5000
0.2978 0.2978 0.0051
0.7022 0.7022 0.9949
0.7250 0.2750 0.5000
0.8087 0.1913 0.0000
0.0135 0.5102 0.2377
0.0514 0.0514 0.7135
0.4898 0.9865 0.7623
0.5102 0.0135 0.2377
0.9486 0.9486 0.2865
0.9865 0.4898 0.7623
```


(6)
# Pm2Pr2Ir3

Crystalline Pm2Pr2Ir3 at its relaxed geometry (GGA-PBE, the Alexandria database).

## Properties
* mass density: 10.9 Mg/m³
* ΔE to the lowest computed polymorph: 0.00 eV per formula unit
* total magnetic moment: 0.00 μB/f.u.
* calculated formation energy: -592 meV per atom

Structure (POSCAR):
```
Pm2Pr2Ir3
1.0
-4.4407 4.4407 4.4407
4.4407 -4.4407 4.4407
4.4407 4.4407 -4.4407
Pm Pr Ir
4 4 6
direct
0.0000 0.8764 0.5000
0.5000 0.0000 0.8764
0.6236 0.6236 0.6236
0.8764 0.5000 0.0000
0.0000 0.3727 0.5000
0.1273 0.1273 0.1273
0.3727 0.5000 0.0000
0.5000 0.0000 0.3727
0.1155 0.7500 0.8655
0.2500 0.6345 0.3845
0.3845 0.2500 0.6345
0.6345 0.3845 0.2500
0.7500 0.8655 0.1155
0.8655 0.1155 0.7500
```


(7)
# Pm2PrIr

Crystalline Pm2PrIr at its relaxed geometry (GGA-PBE, the Alexandria database).

## Properties
* mass density: 7.3 Mg/m³
* ΔE to the lowest computed polymorph: 1.36 eV per formula unit
* total magnetic moment: 0.48 μB/f.u.
* calculated formation energy: -118 meV per atom

Structure (POSCAR):
```
Pm2PrIr
1.0
1.9490 1.1252 10.7195
-1.9490 1.1252 10.7195
0.0000 -2.2505 10.7195
Pm Pr Ir
2 1 1
direct
0.1149 0.1149 0.1149
0.8851 0.8851 0.8851
0.0000 0.0000 0.0000
0.5000 0.5000 0.5000
```


(8)
# Pm3PrIr3

Crystalline Pm3PrIr3 at its relaxed geometry (GGA-PBE, the Alexandria database).

## Properties
* mass density: 10.5 Mg/m³
* ΔE to the lowest computed polymorph: 0.36 eV per formula unit
* total magnetic moment: 0.00 μB/f.u.
* calculated formation energy: -522 meV per atom

Structure (POSCAR):
```
Pm3PrIr3
1.0
5.5640 -4.7408 0.0000
5.5640 4.7408 0.0000
-1.9517 0.0000 6.9105
Pm Pr Ir
6 2 6
direct
0.1890 0.8110 0.0000
0.2697 0.7303 0.5000
0.2995 0.2995 0.0100
0.7005 0.7005 0.9900
0.7303 0.2697 0.5000
0.8110 0.1890 0.0000
0.2217 0.2217 0.4627
0.7783 0.7783 0.5373
0.0161 0.5132 0.2258
0.0513 0.0513 0.7164
0.4868 0.9839 0.7742
0.5132 0.0161 0.2258
0.9487 0.9487 0.2836
0.9839 0.4868 0.7742
```


(9)
# PmPrIrPt

Crystalline PmPrIrPt at its relaxed geometry (GGA-PBE, the Alexandria database).

## Properties
* mass density: 11.7 Mg/m³
* ΔE to the lowest computed polymorph: 0.00 eV per formula unit
* total magnetic moment: 0.00 μB/f.u.
* calculated formation energy: -883 meV per atom

Structure (POSCAR):
```
PmPrIrPt
1.0
4.3975 0.0000 0.0000
0.0000 1.9859 5.4785
0.0000 -1.9859 5.4785
Pm Pr Ir Pt
1 1 1 1
direct
0.0000 0.0000 0.0000
0.5000 0.2813 0.2813
0.5000 0.5514 0.5514
0.0000 0.7224 0.7224
```


(10)
# PmPrIrPt

Crystalline PmPrIrPt at its relaxed geometry (GGA-PBE, the Alexandria database).

## Properties
* mass density: 12.2 Mg/m³
* ΔE to the lowest computed polymorph: 0.29 eV per formula unit
* total magnetic moment: 0.00 μB/f.u.
* calculated formation energy: -811 meV per atom

Structure (POSCAR):
```
PmPrIrPt
1.0
0.0000 3.5788 3.5788
3.5788 0.0000 3.5788
3.5788 3.5788 0.0000
Pm Pr Ir Pt
1 1 1 1
direct
0.0000 0.0000 0.0000
0.5000 0.5000 0.5000
0.2500 0.2500 0.2500
0.7500 0.7500 0.7500
```


(11)
# PmPrSnIr

Crystalline PmPrSnIr at its relaxed geometry (GGA-PBE, the Alexandria database).

## Properties
* mass density: 9.6 Mg/m³
* total magnetic moment: 0.00 μB/f.u.
* calculated formation energy: -472 meV per atom

Structure (POSCAR):
```
PmPrSnIr
1.0
0.0000 3.7241 3.7241
3.7241 0.0000 3.7241
3.7241 3.7241 0.0000
Pm Pr Sn Ir
1 1 1 1
direct
0.0000 0.0000 0.0000
0.5000 0.5000 0.5000
0.7500 0.7500 0.7500
0.2500 0.2500 0.2500
```


(12)
# PmPrTlIr

Crystalline PmPrTlIr at its relaxed geometry (GGA-PBE, the Alexandria database).

## Properties
* mass density: 10.8 Mg/m³
* ΔE to the lowest computed polymorph: 0.00 eV per formula unit
* total magnetic moment: 0.00 μB/f.u.
* calculated formation energy: -360 meV per atom

Structure (POSCAR):
```
PmPrTlIr
1.0
3.8020 0.0000 0.0000
0.0000 5.0873 0.0000
0.0000 0.0000 5.4081
Pm Pr Tl Ir
1 1 1 1
direct
0.0000 0.0000 0.0000
0.0000 0.5000 0.4698
0.5000 0.0000 0.5256
0.5000 0.5000 0.8838
```


(13)
# PmPrTlIr

Crystalline PmPrTlIr at its relaxed geometry (GGA-PBE, the Alexandria database).

## Properties
* mass density: 11.0 Mg/m³
* ΔE to the lowest computed polymorph: 0.03 eV per formula unit
* total magnetic moment: 0.00 μB/f.u.
* calculated formation energy: -352 meV per atom

Structure (POSCAR):
```
PmPrTlIr
1.0
0.0000 3.7227 3.7227
3.7227 0.0000 3.7227
3.7227 3.7227 0.0000
Pm Pr Tl Ir
1 1 1 1
direct
0.0000 0.0000 0.0000
0.5000 0.5000 0.5000
0.7500 0.7500 0.7500
0.2500 0.2500 0.2500
```


(14)
# Pm3Ir2Pt

Crystalline Pm3Ir2Pt at its relaxed geometry (GGA-PBE, the Alexandria database).

## Properties
* mass density: 12.6 Mg/m³
* total magnetic moment: 0.00 μB/f.u.
* calculated formation energy: -772 meV per atom

Structure (POSCAR):
```
Pm3Ir2Pt
1.0
3.5564 0.0000 0.0000
0.0000 3.5564 0.0000
0.0000 0.0000 10.5641
Pm Ir Pt
3 2 1
direct
0.0000 0.0000 0.0000
0.0000 0.0000 0.3268
0.0000 0.0000 0.6732
0.5000 0.5000 0.1670
0.5000 0.5000 0.8330
0.5000 0.5000 0.5000
```


(15)
# Pm3IrPt2

Crystalline Pm3IrPt2 at its relaxed geometry (GGA-PBE, the Alexandria database).

## Properties
* mass density: 11.5 Mg/m³
* ΔE to the lowest computed polymorph: 0.12 eV per formula unit
* total magnetic moment: 0.00 μB/f.u.
* calculated formation energy: -917 meV per atom

Structure (POSCAR):
```
Pm3IrPt2
1.0
11.8978 0.0000 0.0000
0.0000 4.1782 0.0000
0.0000 0.0000 11.8446
Pm Ir Pt
12 4 8
direct
0.0471 0.2500 0.1233
0.1215 0.7500 0.5557
0.2214 0.2500 0.8064
0.2786 0.7500 0.3064
0.3785 0.2500 0.0557
0.4529 0.7500 0.6233
0.5471 0.2500 0.3767
0.6215 0.7500 0.9443
0.7214 0.2500 0.6936
0.7786 0.7500 0.1936
0.8785 0.2500 0.4443
0.9529 0.7500 0.8767
0.1234 0.2500 0.3751
0.3766 0.7500 0.8751
0.6234 0.2500 0.1249
0.8766 0.7500 0.6249
0.0019 0.2500 0.6985
0.1779 0.7500 0.9985
0.3221 0.2500 0.4985
0.4981 0.7500 0.1985
0.5019 0.2500 0.8015
0.6779 0.7500 0.5015
0.8221 0.2500 0.0015
0.9981 0.7500 0.3015
```


(16)
# Pm4IrPt3

Crystalline Pm4IrPt3 at its relaxed geometry (GGA-PBE, the Alexandria database).

## Properties
* mass density: 11.9 Mg/m³
* total magnetic moment: 0.00 μB/f.u.
* calculated formation energy: -1050 meV per atom

Structure (POSCAR):
```
Pm4IrPt3
1.0
3.9020 0.0000 0.0000
0.0000 4.4858 0.0000
0.0000 0.0000 10.8340
Pm Ir Pt
4 1 3
direct
0.0000 0.0000 0.0000
0.0000 0.5000 0.2737
0.5000 0.0000 0.4898
0.5000 0.5000 0.7727
0.5000 0.0000 0.2208
0.0000 0.0000 0.7219
0.0000 0.5000 0.5499
0.5000 0.5000 0.0486
```


(17)
# Pm5Ir2Pt2

Crystalline Pm5Ir2Pt2 at its relaxed geometry (GGA-PBE, the Alexandria database).

## Properties
* mass density: 11.2 Mg/m³
* total magnetic moment: 0.00 μB/f.u.
* calculated formation energy: -863 meV per atom

Structure (POSCAR):
```
Pm5Ir2Pt2
1.0
7.4956 -3.8602 0.0000
7.4956 3.8602 0.0000
0.0000 0.0000 7.7084
Pm Ir Pt
10 4 4
direct
0.0000 0.0000 0.0000
0.0388 0.6914 0.6681
0.1914 0.5388 0.1681
0.3086 0.9612 0.6681
0.4612 0.8086 0.1681
0.5000 0.5000 0.5000
0.5388 0.1914 0.8319
0.6914 0.0388 0.3319
0.8086 0.4612 0.8319
0.9612 0.3086 0.3319
0.1276 0.8724 0.3739
0.3724 0.6276 0.8739
0.6276 0.3724 0.1261
0.8724 0.1276 0.6261
0.2032 0.2032 0.0000
0.2968 0.2968 0.5000
0.7032 0.7032 0.5000
0.7968 0.7968 0.0000
```


(18)
# Pm8Ir2Pt

Crystalline Pm8Ir2Pt at its relaxed geometry (GGA-PBE, the Alexandria database).

## Properties
* mass density: 9.4 Mg/m³
* ΔE to the lowest computed polymorph: 0.00 eV per formula unit
* total magnetic moment: 0.00 μB/f.u.
* calculated formation energy: -499 meV per atom

Structure (POSCAR):
```
Pm8Ir2Pt
1.0
8.8887 -2.5171 0.0000
8.8887 2.5171 0.0000
-1.2138 0.0000 6.8626
Pm Ir Pt
8 2 1
direct
0.0374 0.0374 0.2769
0.2036 0.2036 0.8343
0.3322 0.3322 0.5343
0.4107 0.4107 0.0579
0.5893 0.5893 0.9421
0.6678 0.6678 0.4657
0.7964 0.7964 0.1657
0.9626 0.9626 0.7231
0.2022 0.2022 0.2371
0.7978 0.7978 0.7629
0.5000 0.5000 0.5000
```


(19)
# PmIrPt

Crystalline PmIrPt at its relaxed geometry (GGA-PBE, the Alexandria database).

## Properties
* mass density: 14.3 Mg/m³
* ΔE to the lowest computed polymorph: 1.56 eV per formula unit
* total magnetic moment: 0.00 μB/f.u.
* calculated formation energy: -355 meV per atom

Structure (POSCAR):
```
PmIrPt
1.0
-1.7907 1.7907 4.8338
1.7907 -1.7907 4.8338
1.7907 1.7907 -4.8338
Pm Ir Pt
1 1 1
direct
0.0000 0.0000 0.0000
0.7039 0.7039 0.0000
0.2963 0.2963 0.0000
```


(20)
# Pm7Ir2Pt2

Crystalline Pm7Ir2Pt2 at its relaxed geometry (GGA-PBE, the Alexandria database).

## Properties
* mass density: 10.0 Mg/m³
* ΔE to the lowest computed polymorph: 0.00 eV per formula unit
* total magnetic moment: 0.00 μB/f.u.
* calculated formation energy: -733 meV per atom

Structure (POSCAR):
```
Pm7Ir2Pt2
1.0
-2.0315 7.6652 4.7484
2.0315 -7.6652 4.7484
2.0315 7.6652 -4.7484
Pm Ir Pt
7 2 2
direct
0.0000 0.0000 0.0000
0.2764 0.3855 0.8909
0.2956 0.6052 0.6904
0.4946 0.3855 0.1091
0.6013 0.2237 0.3776
0.8461 0.2237 0.6224
0.9147 0.6052 0.3096
0.2094 0.7094 0.5000
0.6450 0.6450 0.0000
0.1467 0.9049 0.2419
0.6630 0.9049 0.7581
```